## Y2BiRu (PBE)

Data for crystalline Y2BiRu at its relaxed geometry.

Calculated density = 8.168 g/cm³
Energy of formation = -517 meV per atom
Electronic total energy = -7.04 eV per atom

Lattice parameters (Å, degrees): 3.455 3.455 8.310 90.00 90.00 90.00
Element x y z (fractional)
Y  0.000  0.000  0.200
Y  0.000  0.000  0.800
Bi  0.500  0.500  0.500
Ru  0.500  0.500  0.000